Record 1
# CsPaCl5 | the Alexandria database | GGA-PBE | optimized geometry
# * E_form (uncorrected): -1.955 eV per atom
# * calculated volume: 42.54 Å³/atom
# * N(E_F): 0.22 states/eV per atom
data_CsPaCl5
_chemical_formula_sum 'Cs4 Pa4 Cl20'
_symmetry_space_group_name_H-M 'C 1 2/c 1'
_symmetry_Int_Tables_number 15
_cell_length_a 12.914
_cell_length_b 9.160
_cell_length_c 10.972
_cell_angle_alpha 90.00
_cell_angle_beta 113.39
_cell_angle_gamma 90.00
loop_
_symmetry_equiv_pos_as_xyz
'x,y,z'
'-x,-y,-z'
'-x,y,-z+1/2'
'x,-y,z+1/2'
'x+1/2,y+1/2,z'
'-x+1/2,-y+1/2,-z'
'-x+1/2,y+1/2,-z+1/2'
'x+1/2,-y+1/2,z+1/2'
loop_
_atom_site_label
_atom_site_type_symbol
_atom_site_fract_x
_atom_site_fract_y
_atom_site_fract_z
Cs1 Cs 0.000 0.032 0.250
Pa1 Pa 0.000 0.500 0.000
Cl1 Cl 0.000 0.449 0.250
Cl2 Cl 0.074 0.231 0.008
Cl3 Cl 0.205 0.401 0.609

Record 2
# YMgSi2 | the Alexandria database | GGA-PBE | optimized geometry
# * E_form (uncorrected): -0.137 eV per atom
# * calculated volume: 19.67 Å³/atom
# * N(E_F): 0.54 states/eV per atom
data_YMgSi2
_chemical_formula_sum 'Y1 Mg1 Si2'
_symmetry_space_group_name_H-M 'P 4/m m m'
_symmetry_Int_Tables_number 123
_symmetry_space_group_name_Hall '-P 4 2'
_cell_length_a 3.142
_cell_length_b 3.142
_cell_length_c 7.973
_cell_angle_alpha 90.00
_cell_angle_beta 90.00
_cell_angle_gamma 90.00
loop_
_atom_site_label
_atom_site_type_symbol
_atom_site_fract_x
_atom_site_fract_y
_atom_site_fract_z
Y1 Y 0.000 0.000 0.000
Mg1 Mg 0.000 0.000 0.500
Si1 Si 0.500 0.500 0.262

Record 3
# SrSc2Os | the Alexandria database | GGA-PBE | optimized geometry
# * calculated volume: 21.93 Å³/atom
# * N(E_F): 0.88 states/eV per atom
# * ΔH_f (0 K): 0.529 eV per atom
data_SrSc2Os
_chemical_formula_sum 'Sr2 Sc4 Os2'
_symmetry_space_group_name_H-M 'C 1 2/m 1'
_symmetry_Int_Tables_number 12
_cell_length_a 6.220
_cell_length_b 9.746
_cell_length_c 3.154
_cell_angle_alpha 90.00
_cell_angle_beta 113.44
_cell_angle_gamma 90.00
loop_
_symmetry_equiv_pos_as_xyz
'x,y,z'
'-x,-y,-z'
'-x,y,-z'
'x,-y,z'
'x+1/2,y+1/2,z'
'-x+1/2,-y+1/2,-z'
'-x+1/2,y+1/2,-z'
'x+1/2,-y+1/2,z'
loop_
_atom_site_label
_atom_site_type_symbol
_atom_site_fract_x
_atom_site_fract_y
_atom_site_fract_z
Sr1 Sr 0.000 0.000 0.000
Sc1 Sc 0.250 0.250 0.500
Os1 Os 0.000 0.500 0.000

Record 4
# Pu5Ga2Ge4 | the Alexandria database | GGA-PBE | optimized geometry
# * calculated volume: 21.70 Å³/atom
# * N(E_F): 2.38 states/eV per atom
# * ΔH_f (0 K): -0.167 eV per atom
data_Pu5Ga2Ge4
_chemical_formula_sum 'Pu10 Ga4 Ge8'
_symmetry_space_group_name_H-M 'C 1 2/m 1'
_symmetry_Int_Tables_number 12
_cell_length_a 20.908
_cell_length_b 4.050
_cell_length_c 5.641
_cell_angle_alpha 90.00
_cell_angle_beta 91.93
_cell_angle_gamma 90.00
loop_
_symmetry_equiv_pos_as_xyz
'x,y,z'
'-x,-y,-z'
'-x,y,-z'
'x,-y,z'
'x+1/2,y+1/2,z'
'-x+1/2,-y+1/2,-z'
'-x+1/2,y+1/2,-z'
'x+1/2,-y+1/2,z'
loop_
_atom_site_label
_atom_site_type_symbol
_atom_site_fract_x
_atom_site_fract_y
_atom_site_fract_z
Pu1 Pu 0.000 0.000 0.000
Pu2 Pu 0.146 0.500 0.248
Pu3 Pu 0.225 0.500 0.935
Ga1 Ga 0.063 0.000 0.502
Ge1 Ge 0.088 0.500 0.765
Ge2 Ge 0.208 0.000 0.560

- Which of these has the lowest calculated volume?
  YMgSi2